# 1
# SnTeAu2, relaxed, DFT GGA-PBE
# formation energy from raw total energies: 84 meV per atom
data_SnTeAu2
_symmetry_space_group_name_H-M 'F m -3 m'
_symmetry_Int_Tables_number 225
_symmetry_space_group_name_Hall '-F 4 2 3'
_cell_length_a 7.171
_cell_length_b 7.171
_cell_length_c 7.171
_cell_angle_alpha 90.00
_cell_angle_beta 90.00
_cell_angle_gamma 90.00
loop_
_atom_site_label
_atom_site_fract_x
_atom_site_fract_y
_atom_site_fract_z
Sn1 0.000 0.000 0.000
Te1 0.000 0.000 0.500
Au1 0.250 0.250 0.250

***

# 2
Density functional theory data (GGA-PBE) for a relaxed HoB7Mo3 crystal.

Structure (CIF):
```
data_HoB7Mo3
_symmetry_space_group_name_H-M 'P n m a'
_symmetry_Int_Tables_number 62
_cell_length_a 11.052
_cell_length_b 3.105
_cell_length_c 12.868
_cell_angle_alpha 90.00
_cell_angle_beta 90.00
_cell_angle_gamma 90.00
loop_
_symmetry_equiv_pos_as_xyz
'x,y,z'
'-x,-y,-z'
'-x+1/2,-y,z+1/2'
'x+1/2,y,-z+1/2'
'x+1/2,-y+1/2,-z+1/2'
'-x+1/2,y+1/2,z+1/2'
'-x,y+1/2,-z'
'x,-y+1/2,z'
loop_
_atom_site_label
_atom_site_fract_x
_atom_site_fract_y
_atom_site_fract_z
Ho1 0.052 0.250 0.192
B1 0.011 0.750 0.362
B2 0.037 0.750 0.018
B3 0.067 0.750 0.616
B4 0.166 0.750 0.332
B5 0.186 0.750 0.067
B6 0.231 0.750 0.582
B7 0.250 0.250 0.326
Mo1 0.118 0.250 0.473
Mo2 0.160 0.250 0.935
Mo3 0.184 0.250 0.702
```

***

# 3
# Zn2NiSb2, relaxed, DFT GGA-PBE
# formation energy from raw total energies: 209 meV per atom
data_Zn2NiSb2
_symmetry_space_group_name_H-M 'P 4/m b m'
_symmetry_Int_Tables_number 127
_symmetry_space_group_name_Hall '-P 4 2ab'
_cell_length_a 6.711
_cell_length_b 6.711
_cell_length_c 4.721
_cell_angle_alpha 90.00
_cell_angle_beta 90.00
_cell_angle_gamma 90.00
loop_
_atom_site_label
_atom_site_fract_x
_atom_site_fract_y
_atom_site_fract_z
Zn1 0.149 0.351 0.000
Ni1 0.000 0.000 0.500
Sb1 0.162 0.662 0.500

***

# 4
Density functional theory data (GGA-PBE) for a relaxed Ba6GePd2 crystal.

Structure (CIF):
```
data_Ba6GePd2
_symmetry_space_group_name_H-M 'F m m m'
_symmetry_Int_Tables_number 69
_symmetry_space_group_name_Hall '-F 2 2'
_cell_length_a 5.704
_cell_length_b 15.523
_cell_length_c 17.050
_cell_angle_alpha 90.00
_cell_angle_beta 90.00
_cell_angle_gamma 90.00
loop_
_atom_site_label
_atom_site_fract_x
_atom_site_fract_y
_atom_site_fract_z
Ba1 0.000 0.119 0.168
Ba2 0.000 0.121 0.500
Ge1 0.000 0.000 0.000
Pd1 0.000 0.000 0.337
```

***

Number 1: D(E_F) 0.1917 states/eV per atom, energy -13.36 eV per formula unit. Number 2: D(E_F) 0.2435 states/eV per atom, energy -90.07 eV per formula unit. Number 3: D(E_F) 0.3730 states/eV per atom, energy -15.53 eV per formula unit. Number 4: D(E_F) 0.7599 states/eV per atom, energy -29.81 eV per formula unit.